(1)
Ho3Lu3Bi2Os | OQMD via LeMat-Bulk | PBE | optimized geometry; electronic total energy = -5.689 eV/atom
1.0
8.2109 0.0000 0.0000
-4.1054 7.1108 0.0000
0.0000 0.0000 4.1984
Ho Lu Bi Os
3 3 2 1
direct
0.0000 0.2366 0.0000
0.2366 0.0000 0.0000
0.7634 0.7634 0.0000
0.0000 0.6192 0.5000
0.3808 0.3808 0.5000
0.6192 0.0000 0.5000
0.3333 0.6667 0.0000
0.6667 0.3333 0.0000
0.0000 0.0000 0.5000

(2)
Ho3LuSc2Bi2Os | OQMD via LeMat-Bulk | PBE | optimized geometry; electronic total energy = -6.180 eV/atom
1.0
4.2179 0.0000 0.0000
0.0000 6.9563 4.0087
0.0000 -6.9563 4.0087
Ho Lu Sc Bi Os
3 1 2 2 1
direct
0.0000 0.0000 0.0000
0.0000 0.3797 0.7676
0.0000 0.7676 0.3797
0.5000 0.6086 0.6086
0.5000 0.1562 0.3812
0.5000 0.3812 0.1562
0.5000 0.0522 0.7159
0.5000 0.7159 0.0522
0.0000 0.3740 0.3740

(3)
Ho2Lu3ScBi2Os | OQMD via LeMat-Bulk | PBE | optimized geometry; electronic total energy = -5.927 eV/atom
1.0
4.1761 0.0000 0.0000
0.0000 7.0018 4.0795
0.0000 -7.0018 4.0795
Ho Lu Sc Bi Os
2 3 1 2 1
direct
0.0000 0.1926 0.8074
0.0000 0.8074 0.1926
0.5000 0.1949 0.4276
0.5000 0.4276 0.1949
0.5000 0.9629 0.9629
0.0000 0.5717 0.5717
0.5000 0.5277 0.8547
0.5000 0.8547 0.5277
0.0000 0.1962 0.1962

(4)
Ho3Lu2ScBi2Os | OQMD via LeMat-Bulk | PBE | optimized geometry; electronic total energy = -5.971 eV/atom
1.0
4.2241 0.0000 0.0000
0.0000 7.0328 4.0459
0.0000 -7.0328 4.0459
Ho Lu Sc Bi Os
3 2 1 2 1
direct
0.0000 0.0000 0.0000
0.0000 0.2281 0.6101
0.0000 0.6101 0.2281
0.5000 0.6114 0.8412
0.5000 0.8412 0.6114
0.5000 0.3868 0.3868
0.5000 0.2800 0.9494
0.5000 0.9494 0.2800
0.0000 0.6052 0.6052